Record 1
# PmEr2Mn GGA-PBE relaxed
# N(E_F) = 5.5 states/eV/cell
# total magnetic moment = 0.733 μB per atom
data_PmEr2Mn
_space_group_name_H-M_alt 'P 4/m m m'
_space_group_IT_number 123
_space_group_name_Hall '-P 4 2'
_cell_length_a 3.464
_cell_length_b 3.464
_cell_length_c 8.966
_cell_angle_alpha 90.00
_cell_angle_beta 90.00
_cell_angle_gamma 90.00
loop_
_atom_site_label
_atom_site_type_symbol
_atom_site_fract_x
_atom_site_fract_y
_atom_site_fract_z
Pm1 Pm 0.000 0.000 0.000
Er1 Er 0.500 0.500 0.307
Mn1 Mn 0.000 0.000 0.500



Record 2
# Pa2PbF8 GGA-PBE relaxed
# N(E_F) = 6.1 states/eV/cell
# total magnetic moment = 0.183 μB per atom
# uncorrected formation energy = -3.177 eV/atom
data_Pa2PbF8
_space_group_name_H-M_alt 'C 1 2/m 1'
_space_group_IT_number 12
_cell_length_a 10.275
_cell_length_b 7.652
_cell_length_c 4.776
_cell_angle_alpha 90.00
_cell_angle_beta 96.50
_cell_angle_gamma 90.00
loop_
_space_group_symop_operation_xyz
'x,y,z'
'-x,-y,-z'
'-x,y,-z'
'x,-y,z'
'x+1/2,y+1/2,z'
'-x+1/2,-y+1/2,-z'
'-x+1/2,y+1/2,-z'
'x+1/2,-y+1/2,z'
loop_
_atom_site_label
_atom_site_type_symbol
_atom_site_fract_x
_atom_site_fract_y
_atom_site_fract_z
Pa1 Pa 0.197 0.000 0.052
Pb1 Pb 0.000 0.500 0.500
F1 F 0.010 0.000 0.759
F2 F 0.148 0.288 0.114
F3 F 0.224 0.000 0.528



Record 3
# NdZnGa2Ru2 GGA-PBE relaxed
# N(E_F) = 2.9 states/eV/cell
# total magnetic moment = 0.000 μB per atom
data_NdZnGa2Ru2
_space_group_name_H-M_alt 'P 4/m m m'
_space_group_IT_number 123
_space_group_name_Hall '-P 4 2'
_cell_length_a 4.603
_cell_length_b 4.603
_cell_length_c 5.527
_cell_angle_alpha 90.00
_cell_angle_beta 90.00
_cell_angle_gamma 90.00
loop_
_atom_site_label
_atom_site_type_symbol
_atom_site_fract_x
_atom_site_fract_y
_atom_site_fract_z
Nd1 Nd 0.000 0.000 0.000
Zn1 Zn 0.000 0.000 0.500
Ga1 Ga 0.500 0.500 0.251
Ru1 Ru 0.000 0.500 0.500



Record 4
# Ce3InGa5 GGA-PBE relaxed
# N(E_F) = 28.3 states/eV/cell
# total magnetic moment = 0.177 μB per atom
data_Ce3InGa5
_space_group_name_H-M_alt 'P 63/m c m'
_space_group_IT_number 193
_space_group_name_Hall '-P 6c 2'
_cell_length_a 8.6858
_cell_length_b 8.6858
_cell_length_c 6.2363
_cell_angle_alpha 90.00
_cell_angle_beta 90.00
_cell_angle_gamma 120.00
loop_
_atom_site_label
_atom_site_type_symbol
_atom_site_fract_x
_atom_site_fract_y
_atom_site_fract_z
Ce1 Ce 0.0000 0.3556 0.2500
In1 In 0.0000 0.0000 0.0000
Ga1 Ga 0.0000 0.3161 0.7500
Ga2 Ga 0.3333 0.6667 0.0000



Number 1: total DFT energy (no corrections) -22.61 eV for the cell shown. Number 2: total DFT energy (no corrections) -145.25 eV for the cell shown. Number 3: total DFT energy (no corrections) -31.16 eV for the cell shown. Number 4: total DFT energy (no corrections) -79.25 eV for the cell shown.